Below is a relaxed structure of MoC2F, with properties calculated at the PBE with a Hubbard U level.

The calculation puts the total energy at -4.87 eV per atom. The calculation puts the polymorph energy (0 for the lowest one) at 403 meV/atom.

The space group is Fm-3m (No. 225) and the conventional cell measures 5.402, 5.402 and 5.402 Å, with angles of 90.00, 90.00 and 90.00 degrees. Symmetry generates all atoms from Mo at (0.000, 0.000, 0.000), C at (0.250, 0.250, 0.250) and F at (0.000, 0.000, 0.500).